# 1
Below is a geometry-optimized ZrRe2I structure, with properties calculated at the PBE level.

Raw formation energy   1.01 eV per atom
Energy above the lowest structure with this stoichiometry   0.124 eV/atom
Uncorrected energy   -7.74 eV per atom
V   326.9 Å³/cell

abc: 3.9279 3.9279 21.1910
angles: 90.00 90.00 90.00
Space group I-42d (No. 122)
Asymmetric unit:
Zr  0.0000  0.0000  0.0000 [4 per cell]
Re  0.1932  0.2500  0.6250 [8 per cell]
I  0.0000  0.0000  0.5000 [4 per cell]

=====

# 2
Below is a geometry-optimized Zr3ReI structure, with properties calculated at the PBE level.

Raw formation energy   1.58 eV per atom
Energy above the lowest structure with this stoichiometry   1.083 eV/atom
Uncorrected energy   -6.35 eV per atom
V   135.1 Å³/cell

abc: 5.1310 5.1310 5.1310
angles: 90.00 90.00 90.00
Space group Pm-3m (No. 221)
Asymmetric unit:
Zr  0.0000  0.0000  0.5000 [3 per cell]
Re  0.5000  0.5000  0.5000 [1 per cell]
I  0.0000  0.0000  0.0000 [1 per cell]

=====

Among the records above, which one has the highest V?
ZrRe2I